Below is a relaxed structure of Ca3MnCr3O8, with properties calculated at the GGA+U level.

Properties
Total energy, eV/atom: -7.063
Space-group type: No. 12

abc: 6.355 6.355 6.345
angles: 119.67 119.67 58.18
Positions (direct):
1 Ca 0.000 0.000 0.000
2 Ca 0.000 0.500 0.000
3 Ca 0.500 0.000 0.000
4 Mn 0.000 0.000 0.500
5 Cr 0.000 0.500 0.500
6 Cr 0.500 0.000 0.500
7 Cr 0.500 0.500 0.500
8 O 0.225 0.733 0.701
9 O 0.240 0.240 0.709
10 O 0.244 0.244 0.272
11 O 0.267 0.775 0.299
12 O 0.733 0.225 0.701
13 O 0.756 0.756 0.728
14 O 0.760 0.760 0.291
15 O 0.775 0.267 0.299